Entry from the Alexandria database: crystalline CaTm4S6 at its relaxed geometry (PBE).

Values from the calculation:
**Formation energy from raw total energies**: -2041 meV/atom
**Symmetry**: Cmcm (63)
**Total energy**: -6.10 eV/atom
**Size of the total moment**: 0.000 μB/f.u.

CIF file:
```
data_CaTm4S6
_space_group_name_H-M_alt 'P 1'
_space_group_IT_number 1
_cell_length_a 6.645
_cell_length_b 6.645
_cell_length_c 19.785
_cell_angle_alpha 90.00
_cell_angle_beta 90.00
_cell_angle_gamma 146.42
loop_
_space_group_symop_operation_xyz
'x,y,z'
loop_
_atom_site_label
_atom_site_fract_x
_atom_site_fract_y
_atom_site_fract_z
Ca1 0.156 0.844 0.750
Ca2 0.844 0.156 0.250
Tm1 0.094 0.906 0.130
Tm2 0.094 0.906 0.370
Tm3 0.363 0.637 0.041
Tm4 0.363 0.637 0.459
Tm5 0.637 0.363 0.541
Tm6 0.637 0.363 0.959
Tm7 0.906 0.094 0.630
Tm8 0.906 0.094 0.870
S1 0.000 0.000 0.000
S2 0.000 0.000 0.500
S3 0.185 0.815 0.250
S4 0.270 0.730 0.586
S5 0.270 0.730 0.914
S6 0.456 0.544 0.163
S7 0.456 0.544 0.337
S8 0.544 0.456 0.663
S9 0.544 0.456 0.837
S10 0.730 0.270 0.086
S11 0.730 0.270 0.414
S12 0.815 0.185 0.750
```